Below is CaCo4O9 after structural relaxation, with properties calculated at the PBE+U level.

Geometry as POSCAR:
```
CaCo4O9
1.0
8.276 0.000 0.000
0.000 8.276 0.000
0.000 0.000 5.194
Ca Co O
2 8 18
direct
0.250 0.250 0.135
0.750 0.750 0.865
0.036 0.661 0.393
0.161 0.964 0.607
0.339 0.536 0.607
0.464 0.839 0.393
0.536 0.161 0.607
0.661 0.464 0.393
0.839 0.036 0.393
0.964 0.339 0.607
0.006 0.322 0.917
0.040 0.145 0.450
0.145 0.460 0.450
0.178 0.006 0.917
0.250 0.750 0.500
0.322 0.494 0.917
0.355 0.040 0.450
0.460 0.355 0.450
0.494 0.178 0.917
0.506 0.822 0.083
0.540 0.645 0.550
0.645 0.960 0.550
0.678 0.506 0.083
0.750 0.250 0.500
0.822 0.994 0.083
0.855 0.540 0.550
0.960 0.855 0.550
0.994 0.678 0.083
```

VASP energy   -5.676 eV/atom
Theoretical density   3.92 Mg/m³
Crystal system   tetragonal